Crystalline BeRhPb2 at its relaxed geometry. Source: the Alexandria database, functional GGA-PBE.

The calculation puts the total energy at -0.1721 Ha/atom. As for the total magnetization: 0.00 μB/f.u.

The space group is Cm (No. 8) and the conventional cell measures 6.616, 3.793 and 7.290 Å, with angles of 90.00, 106.96 and 90.00 degrees. The distinct sites, in fractional coordinates, are Be at (0.000, 0.000, 0.000), Rh at (0.331, 0.000, 0.996), Pb at (0.072, 0.500, 0.707) and Pb at (0.257, 0.500, 0.285).